[1]
# NaZn7Cu5, optimized geometry, DFT GGA-PBE
data_NaZn7Cu5
_cell_length_a 4.9879
_cell_length_b 6.6590
_cell_length_c 6.6590
_cell_angle_alpha 82.21
_cell_angle_beta 68.01
_cell_angle_gamma 68.01
_symmetry_space_group_name_H-M 'P 1'
_symmetry_Int_Tables_number 1
loop_
_symmetry_equiv_pos_as_xyz
'x,y,z'
loop_
_atom_site_label
_atom_site_type_symbol
_atom_site_fract_x
_atom_site_fract_y
_atom_site_fract_z
_atom_site_occupancy
Na1 Na 0.0025 0.9975 0.9975 1
Zn1 Zn 0.6533 0.3467 0.3467 1
Zn2 Zn 0.3399 0.6601 0.6601 1
Zn3 Zn 0.9959 0.3491 0.6590 1
Zn4 Zn 0.9959 0.6590 0.3491 1
Zn5 Zn 0.2763 0.2237 0.2237 1
Zn6 Zn 0.5032 0.7908 0.2028 1
Zn7 Zn 0.5032 0.2028 0.7908 1
Cu1 Cu 0.4995 0.0007 0.4996 1
Cu2 Cu 0.0003 0.0007 0.4996 1
Cu3 Cu 0.4995 0.4996 0.0007 1
Cu4 Cu 0.0003 0.4996 0.0007 1
Cu5 Cu 0.7302 0.7698 0.7698 1
# Magnetization   0.000 μB/atom
# E_tot   -2.44 eV per atom
# Formation enthalpy at 0 K   -7 kJ/mol of atoms

=====

[2]
# NaZnCu3, optimized geometry, DFT GGA-PBE
data_NaZnCu3
_cell_length_a 4.5751
_cell_length_b 4.5751
_cell_length_c 4.5751
_cell_angle_alpha 90.00
_cell_angle_beta 90.00
_cell_angle_gamma 90.00
_symmetry_space_group_name_H-M 'P 1'
_symmetry_Int_Tables_number 1
loop_
_symmetry_equiv_pos_as_xyz
'x,y,z'
loop_
_atom_site_label
_atom_site_type_symbol
_atom_site_fract_x
_atom_site_fract_y
_atom_site_fract_z
_atom_site_occupancy
Na1 Na 0.0000 0.0000 0.0000 1
Zn1 Zn 0.5000 0.5000 0.5000 1
Cu1 Cu 0.0000 0.5000 0.0000 1
Cu2 Cu 0.0000 0.0000 0.5000 1
Cu3 Cu 0.5000 0.0000 0.0000 1
# Magnetization   0.000 μB/atom
# E_tot   -1.76 eV per atom
# Energy relative to the lowest polymorph listed for this composition   760 meV per atom
# Formation enthalpy at 0 K   117 kJ/mol of atoms

=====

[3]
# NaZnCu, optimized geometry, DFT GGA-PBE
data_NaZnCu
_cell_length_a 3.2993
_cell_length_b 3.2993
_cell_length_c 5.7801
_cell_angle_alpha 106.58
_cell_angle_beta 106.58
_cell_angle_gamma 90.00
_symmetry_space_group_name_H-M 'P 1'
_symmetry_Int_Tables_number 1
loop_
_symmetry_equiv_pos_as_xyz
'x,y,z'
loop_
_atom_site_label
_atom_site_type_symbol
_atom_site_fract_x
_atom_site_fract_y
_atom_site_fract_z
_atom_site_occupancy
Na1 Na 0.9980 0.9980 0.9960 1
Zn1 Zn 0.7152 0.7152 0.4305 1
Cu1 Cu 0.2868 0.2868 0.5736 1
# Magnetization   0.000 μB/atom
# E_tot   -2.13 eV per atom
# Energy relative to the lowest polymorph listed for this composition   10 meV per atom
# Formation enthalpy at 0 K   9 kJ/mol of atoms

=====

[4]
# NaZn6Cu6, optimized geometry, DFT GGA-PBE
data_NaZn6Cu6
_cell_length_a 5.0013
_cell_length_b 6.6137
_cell_length_c 6.6137
_cell_angle_alpha 81.19
_cell_angle_beta 67.78
_cell_angle_gamma 67.78
_symmetry_space_group_name_H-M 'P 1'
_symmetry_Int_Tables_number 1
loop_
_symmetry_equiv_pos_as_xyz
'x,y,z'
loop_
_atom_site_label
_atom_site_type_symbol
_atom_site_fract_x
_atom_site_fract_y
_atom_site_fract_z
_atom_site_occupancy
Na1 Na 0.0000 0.0000 0.0000 1
Zn1 Zn 0.3470 0.6530 0.6530 1
Zn2 Zn 0.6530 0.3470 0.3470 1
Zn3 Zn 0.0000 0.3408 0.6592 1
Zn4 Zn 0.0000 0.6592 0.3408 1
Zn5 Zn 0.3065 0.1935 0.1935 1
Zn6 Zn 0.6935 0.8065 0.8065 1
Cu1 Cu 0.0000 0.5000 0.0000 1
Cu2 Cu 0.5000 0.5000 0.0000 1
Cu3 Cu 0.0000 0.0000 0.5000 1
Cu4 Cu 0.5000 0.0000 0.5000 1
Cu5 Cu 0.5000 0.7667 0.2333 1
Cu6 Cu 0.5000 0.2333 0.7667 1
# Magnetization   0.000 μB/atom
# E_tot   -2.65 eV per atom
# Formation enthalpy at 0 K   -7 kJ/mol of atoms

=====

[5]
# NaZn2Cu, optimized geometry, DFT GGA-PBE
data_NaZn2Cu
_cell_length_a 2.8595
_cell_length_b 2.8595
_cell_length_c 9.4794
_cell_angle_alpha 81.33
_cell_angle_beta 81.33
_cell_angle_gamma 60.00
_symmetry_space_group_name_H-M 'P 1'
_symmetry_Int_Tables_number 1
loop_
_symmetry_equiv_pos_as_xyz
'x,y,z'
loop_
_atom_site_label
_atom_site_type_symbol
_atom_site_fract_x
_atom_site_fract_y
_atom_site_fract_z
_atom_site_occupancy
Na1 Na 0.5000 0.5000 0.5000 1
Zn1 Zn 0.7380 0.7380 0.7860 1
Zn2 Zn 0.2620 0.2620 0.2140 1
Cu1 Cu 0.0000 0.0000 0.0000 1
# Magnetization   0.000 μB/atom
# E_tot   -1.87 eV per atom
# Formation enthalpy at 0 K   12 kJ/mol of atoms

=====

[6]
# NaZr2Cu2, optimized geometry, DFT GGA-PBE
data_NaZr2Cu2
_cell_length_a 8.3085
_cell_length_b 8.3085
_cell_length_c 2.8044
_cell_angle_alpha 90.00
_cell_angle_beta 90.00
_cell_angle_gamma 90.00
_symmetry_space_group_name_H-M 'P 1'
_symmetry_Int_Tables_number 1
loop_
_symmetry_equiv_pos_as_xyz
'x,y,z'
loop_
_atom_site_label
_atom_site_type_symbol
_atom_site_fract_x
_atom_site_fract_y
_atom_site_fract_z
_atom_site_occupancy
Na1 Na 0.0000 0.0000 0.0000 1
Na2 Na 0.5000 0.5000 0.0000 1
Cu1 Cu 0.1526 0.6526 0.5000 1
Cu2 Cu 0.6526 0.8474 0.5000 1
Cu3 Cu 0.8474 0.3474 0.5000 1
Cu4 Cu 0.3474 0.1526 0.5000 1
Zr1 Zr 0.3582 0.8582 0.0000 1
Zr2 Zr 0.8582 0.6418 0.0000 1
Zr3 Zr 0.6418 0.1418 0.0000 1
Zr4 Zr 0.1418 0.3582 0.0000 1
# Magnetization   0.000 μB/atom
# E_tot   -5.16 eV per atom
# Energy relative to the lowest polymorph listed for this composition   41 meV per atom
# Formation enthalpy at 0 K   16 kJ/mol of atoms

=====

[7]
# NaZr3Cu, optimized geometry, DFT GGA-PBE
data_NaZr3Cu
_cell_length_a 5.0368
_cell_length_b 5.0368
_cell_length_c 5.0368
_cell_angle_alpha 90.00
_cell_angle_beta 90.00
_cell_angle_gamma 90.00
_symmetry_space_group_name_H-M 'P 1'
_symmetry_Int_Tables_number 1
loop_
_symmetry_equiv_pos_as_xyz
'x,y,z'
loop_
_atom_site_label
_atom_site_type_symbol
_atom_site_fract_x
_atom_site_fract_y
_atom_site_fract_z
_atom_site_occupancy
Na1 Na 0.5000 0.5000 0.5000 1
Cu1 Cu 0.0000 0.0000 0.0000 1
Zr1 Zr 0.0000 0.5000 0.0000 1
Zr2 Zr 0.0000 0.0000 0.5000 1
Zr3 Zr 0.5000 0.0000 0.0000 1
# Magnetization   0.000 μB/atom
# E_tot   -5.52 eV per atom
# Energy relative to the lowest polymorph listed for this composition   0 meV per atom
# Formation enthalpy at 0 K   67 kJ/mol of atoms

=====

[8]
# NaZr3Cu, optimized geometry, DFT GGA-PBE
data_NaZr3Cu
_cell_length_a 4.9492
_cell_length_b 4.9492
_cell_length_c 4.9492
_cell_angle_alpha 90.00
_cell_angle_beta 90.00
_cell_angle_gamma 90.00
_symmetry_space_group_name_H-M 'P 1'
_symmetry_Int_Tables_number 1
loop_
_symmetry_equiv_pos_as_xyz
'x,y,z'
loop_
_atom_site_label
_atom_site_type_symbol
_atom_site_fract_x
_atom_site_fract_y
_atom_site_fract_z
_atom_site_occupancy
Na1 Na 0.0000 0.0000 0.0000 1
Cu1 Cu 0.5000 0.5000 0.5000 1
Zr1 Zr 0.0000 0.5000 0.0000 1
Zr2 Zr 0.0000 0.0000 0.5000 1
Zr3 Zr 0.5000 0.0000 0.0000 1
# Magnetization   0.000 μB/atom
# E_tot   -4.57 eV per atom
# Energy relative to the lowest polymorph listed for this composition   951 meV per atom
# Formation enthalpy at 0 K   159 kJ/mol of atoms

=====

[9]
# Na2ZrCu, optimized geometry, DFT GGA-PBE
data_Na2ZrCu
_cell_length_a 4.9396
_cell_length_b 4.9396
_cell_length_c 4.9396
_cell_angle_alpha 60.00
_cell_angle_beta 60.00
_cell_angle_gamma 60.00
_symmetry_space_group_name_H-M 'P 1'
_symmetry_Int_Tables_number 1
loop_
_symmetry_equiv_pos_as_xyz
'x,y,z'
loop_
_atom_site_label
_atom_site_type_symbol
_atom_site_fract_x
_atom_site_fract_y
_atom_site_fract_z
_atom_site_occupancy
Na1 Na 0.2500 0.2500 0.2500 1
Na2 Na 0.7500 0.7500 0.7500 1
Cu1 Cu 0.0000 0.0000 0.0000 1
Zr1 Zr 0.5000 0.5000 0.5000 1
# Magnetization   0.000 μB/atom
# E_tot   -2.93 eV per atom
# Energy relative to the lowest polymorph listed for this composition   100 meV per atom
# Formation enthalpy at 0 K   86 kJ/mol of atoms

=====

[10]
# Na2ZrCu, optimized geometry, DFT GGA-PBE
data_Na2ZrCu
_cell_length_a 8.3726
_cell_length_b 8.3726
_cell_length_c 6.5144
_cell_angle_alpha 50.01
_cell_angle_beta 50.01
_cell_angle_gamma 90.00
_symmetry_space_group_name_H-M 'P 1'
_symmetry_Int_Tables_number 1
loop_
_symmetry_equiv_pos_as_xyz
'x,y,z'
loop_
_atom_site_label
_atom_site_type_symbol
_atom_site_fract_x
_atom_site_fract_y
_atom_site_fract_z
_atom_site_occupancy
Na1 Na 0.5715 0.1250 0.2500 1
Na2 Na 0.1785 0.6250 0.2500 1
Na3 Na 0.3750 0.4285 0.7500 1
Na4 Na 0.8750 0.8215 0.7500 1
Cu1 Cu 0.5000 0.5000 0.0000 1
Cu2 Cu 0.2500 0.7500 0.5000 1
Zr1 Zr 0.0000 0.0000 0.0000 1
Zr2 Zr 0.7500 0.2500 0.5000 1
# Magnetization   0.000 μB/atom
# E_tot   -3.03 eV per atom
# Energy relative to the lowest polymorph listed for this composition   0 meV per atom
# Formation enthalpy at 0 K   76 kJ/mol of atoms

=====

What did the eighth record say?
# NaZr3Cu, optimized geometry, DFT GGA-PBE
data_NaZr3Cu
_cell_length_a 4.9492
_cell_length_b 4.9492
_cell_length_c 4.9492
_cell_angle_alpha 90.00
_cell_angle_beta 90.00
_cell_angle_gamma 90.00
_symmetry_space_group_name_H-M 'P 1'
_symmetry_Int_Tables_number 1
loop_
_symmetry_equiv_pos_as_xyz
'x,y,z'
loop_
_atom_site_label
_atom_site_type_symbol
_atom_site_fract_x
_atom_site_fract_y
_atom_site_fract_z
_atom_site_occupancy
Na1 Na 0.0000 0.0000 0.0000 1
Cu1 Cu 0.5000 0.5000 0.5000 1
Zr1 Zr 0.0000 0.5000 0.0000 1
Zr2 Zr 0.0000 0.0000 0.5000 1
Zr3 Zr 0.5000 0.0000 0.0000 1
# Magnetization   0.000 μB/atom
# E_tot   -4.57 eV per atom
# Energy relative to the lowest polymorph listed for this composition   951 meV per atom
# Formation enthalpy at 0 K   159 kJ/mol of atoms